[1]
CeMnNbC3 PBE optimized geometry; raw total energy = -8.91 eV/atom; V = 167 Å³ per cell
1.0
7.027 0.000 0.000
0.000 3.303 0.000
-1.727 0.000 7.203
Ce Mn Nb C
2 2 2 6
Direct
0.184 0.250 0.199 Ce
0.816 0.750 0.801 Ce
0.096 0.250 0.605 Mn
0.904 0.750 0.395 Mn
0.352 0.750 0.856 Nb
0.648 0.250 0.144 Nb
0.121 0.250 0.857 C
0.172 0.750 0.528 C
0.433 0.750 0.152 C
0.567 0.250 0.848 C
0.828 0.250 0.472 C
0.879 0.750 0.143 C



[2]
CeNpMnC3 PBE optimized geometry; raw total energy = -9.21 eV/atom; V = 184 Å³ per cell
1.0
7.201 0.000 0.000
0.000 3.484 0.000
-0.805 0.000 7.326
Ce Np Mn C
2 2 2 6
Direct
0.160 0.250 0.183 Ce
0.840 0.750 0.817 Ce
0.364 0.750 0.819 Np
0.636 0.250 0.181 Np
0.091 0.250 0.589 Mn
0.909 0.750 0.411 Mn
0.130 0.250 0.844 C
0.158 0.750 0.521 C
0.412 0.750 0.125 C
0.588 0.250 0.875 C
0.842 0.250 0.479 C
0.870 0.750 0.156 C



[3]
CePa2MnC4 PBE optimized geometry; raw total energy = -9.07 eV/atom; V = 246 Å³ per cell
1.0
1.767 -5.799 0.000
1.767 5.799 0.000
0.000 0.000 11.989
Ce Pa Mn C
2 4 2 8
Direct
0.100 0.900 0.750 Ce
0.900 0.100 0.250 Ce
0.366 0.634 0.548 Pa
0.366 0.634 0.952 Pa
0.634 0.366 0.048 Pa
0.634 0.366 0.452 Pa
0.164 0.836 0.250 Mn
0.836 0.164 0.750 Mn
0.000 0.000 0.000 C
0.000 0.000 0.500 C
0.263 0.737 0.130 C
0.263 0.737 0.370 C
0.415 0.585 0.750 C
0.585 0.415 0.250 C
0.737 0.263 0.630 C
0.737 0.263 0.870 C



[4]
CePmMnC PBE optimized geometry; raw total energy = -7.12 eV/atom; V = 155 Å³ per cell
1.0
3.702 0.000 0.000
0.000 3.702 0.000
0.000 0.000 11.295
Ce Pm Mn C
2 2 2 2
Direct
0.250 0.750 0.000 Ce
0.750 0.250 0.000 Ce
0.250 0.250 0.296 Pm
0.750 0.750 0.704 Pm
0.250 0.750 0.500 Mn
0.750 0.250 0.500 Mn
0.250 0.250 0.566 C
0.750 0.750 0.434 C



[5]
CeMn2Si2C PBE optimized geometry; raw total energy = -7.89 eV/atom; V = 80 Å³ per cell
1.0
3.919 0.000 0.000
0.000 3.919 0.000
0.000 0.000 5.239
Ce Mn Si C
1 2 2 1
Direct
0.000 0.000 0.000 Ce
0.000 0.500 0.500 Mn
0.500 0.000 0.500 Mn
0.500 0.500 0.229 Si
0.500 0.500 0.771 Si
0.000 0.000 0.500 C



[6]
CeMn2SiC PBE optimized geometry; raw total energy = -8.23 eV/atom; V = 142 Å³ per cell
1.0
1.889 -5.339 0.000
1.889 5.339 0.000
0.000 0.000 7.016
Ce Mn Si C
2 4 2 2
Direct
0.048 0.952 0.750 Ce
0.952 0.048 0.250 Ce
0.332 0.668 0.562 Mn
0.332 0.668 0.938 Mn
0.668 0.332 0.062 Mn
0.668 0.332 0.438 Mn
0.233 0.767 0.250 Si
0.767 0.233 0.750 Si
0.500 0.500 0.000 C
0.500 0.500 0.500 C



[7]
CeTa2MnC4 PBE optimized geometry; raw total energy = -9.85 eV/atom; V = 196 Å³ per cell
1.0
1.623 -5.558 0.000
1.623 5.558 0.000
0.000 0.000 10.844
Ce Ta Mn C
2 4 2 8
Direct
0.097 0.903 0.750 Ce
0.903 0.097 0.250 Ce
0.370 0.630 0.544 Ta
0.370 0.630 0.956 Ta
0.630 0.370 0.044 Ta
0.630 0.370 0.456 Ta
0.166 0.834 0.250 Mn
0.834 0.166 0.750 Mn
0.000 0.000 0.000 C
0.000 0.000 0.500 C
0.264 0.736 0.116 C
0.264 0.736 0.384 C
0.422 0.578 0.750 C
0.578 0.422 0.250 C
0.736 0.264 0.616 C
0.736 0.264 0.884 C



[8]
Ce2ThMnC4 PBE optimized geometry; raw total energy = -8.23 eV/atom; V = 254 Å³ per cell
1.0
1.770 -5.860 0.000
1.770 5.860 0.000
0.000 0.000 12.254
Ce Th Mn C
4 2 2 8
Direct
0.135 0.865 0.545 Ce
0.135 0.865 0.955 Ce
0.865 0.135 0.045 Ce
0.865 0.135 0.455 Ce
0.405 0.595 0.750 Th
0.595 0.405 0.250 Th
0.331 0.669 0.250 Mn
0.669 0.331 0.750 Mn
0.087 0.913 0.750 C
0.231 0.769 0.138 C
0.231 0.769 0.362 C
0.500 0.500 0.000 C
0.500 0.500 0.500 C
0.769 0.231 0.638 C
0.769 0.231 0.862 C
0.913 0.087 0.250 C



[9]
CeMnVC3 PBE optimized geometry; raw total energy = -8.78 eV/atom; V = 139 Å³ per cell
1.0
5.821 0.000 0.000
0.000 3.140 0.000
-2.580 0.000 7.584
Ce Mn V C
2 2 2 6
Direct
0.018 0.250 0.215 Ce
0.982 0.750 0.785 Ce
0.475 0.750 0.121 Mn
0.525 0.250 0.879 Mn
0.377 0.750 0.583 V
0.623 0.250 0.417 V
0.210 0.250 0.658 C
0.295 0.250 0.016 C
0.367 0.750 0.335 C
0.633 0.250 0.665 C
0.705 0.750 0.984 C
0.790 0.750 0.342 C



[10]
CeMnWC3 PBE optimized geometry; raw total energy = -9.28 eV/atom; V = 159 Å³ per cell
1.0
6.808 0.000 0.000
0.000 3.257 0.000
-1.999 0.000 7.177
Ce Mn W C
2 2 2 6
Direct
0.192 0.250 0.204 Ce
0.808 0.750 0.796 Ce
0.102 0.250 0.608 Mn
0.898 0.750 0.392 Mn
0.345 0.750 0.865 W
0.655 0.250 0.135 W
0.123 0.250 0.863 C
0.181 0.750 0.533 C
0.444 0.750 0.157 C
0.556 0.250 0.843 C
0.819 0.250 0.467 C
0.877 0.750 0.137 C



[11]
CeMnZnC PBE optimized geometry; raw total energy = -6.51 eV/atom; V = 127 Å³ per cell
1.0
3.433 0.000 0.000
0.000 3.433 0.000
0.000 0.000 10.754
Ce Mn Zn C
2 2 2 2
Direct
0.250 0.250 0.225 Ce
0.750 0.750 0.775 Ce
0.250 0.750 0.000 Mn
0.750 0.250 0.000 Mn
0.250 0.750 0.500 Zn
0.750 0.250 0.500 Zn
0.250 0.250 0.901 C
0.750 0.750 0.099 C



[12]
CeMoC PBE optimized geometry; energy above the most stable polymorph in this dataset = 3 meV per atom; V = 200 Å³ per cell
1.0
11.855 0.000 0.000
0.000 3.292 0.000
-2.574 0.000 5.120
Ce Mo C
4 4 4
Direct
0.104 0.000 0.432 Ce
0.396 0.500 0.568 Ce
0.604 0.500 0.432 Ce
0.896 0.000 0.568 Ce
0.150 0.500 0.990 Mo
0.350 0.000 0.010 Mo
0.650 0.000 0.990 Mo
0.850 0.500 0.010 Mo
0.245 0.000 0.222 C
0.255 0.500 0.778 C
0.745 0.500 0.222 C
0.755 0.000 0.778 C



[13]
CeMoC PBE optimized geometry; energy above the most stable polymorph in this dataset = 291 meV per atom; V = 91 Å³ per cell
1.0
2.956 0.000 0.000
0.000 2.956 0.000
0.000 0.000 10.469
Ce Mo C
2 2 2
Direct
0.000 0.000 0.000 Ce
0.500 0.500 0.500 Ce
0.000 0.000 0.271 Mo
0.500 0.500 0.771 Mo
0.000 0.000 0.707 C
0.500 0.500 0.207 C



[14]
CeMoC PBE optimized geometry; energy above the most stable polymorph in this dataset = 0 meV per atom; V = 207 Å³ per cell
1.0
4.151 0.000 0.000
0.000 5.229 0.000
0.000 0.000 9.514
Ce Mo C
4 4 4
Direct
0.000 0.250 0.127 Ce
0.000 0.750 0.873 Ce
0.500 0.250 0.373 Ce
0.500 0.750 0.627 Ce
0.000 0.250 0.649 Mo
0.000 0.750 0.351 Mo
0.500 0.250 0.851 Mo
0.500 0.750 0.149 Mo
0.000 0.250 0.869 C
0.000 0.750 0.131 C
0.500 0.250 0.631 C
0.500 0.750 0.369 C



[15]
CeMo2C3 PBE optimized geometry; raw total energy = -8.99 eV/atom; V = 165 Å³ per cell
1.0
1.660 -5.847 0.000
1.660 5.847 0.000
0.000 0.000 8.521
Ce Mo C
2 4 6
Direct
0.204 0.796 0.750 Ce
0.796 0.204 0.250 Ce
0.061 0.939 0.250 Mo
0.500 0.500 0.000 Mo
0.500 0.500 0.500 Mo
0.939 0.061 0.750 Mo
0.131 0.869 0.036 C
0.131 0.869 0.464 C
0.452 0.548 0.250 C
0.548 0.452 0.750 C
0.869 0.131 0.536 C
0.869 0.131 0.964 C



[16]
CeMo2C2 PBE optimized geometry; raw total energy = -9.32 eV/atom; V = 147 Å³ per cell
1.0
0.000 4.467 4.641
3.545 0.000 4.641
3.545 4.467 0.000
Ce Mo C
2 4 4
Direct
0.125 0.125 0.125 Ce
0.875 0.875 0.875 Ce
0.232 0.232 0.518 Mo
0.482 0.482 0.768 Mo
0.518 0.518 0.232 Mo
0.768 0.768 0.482 Mo
0.174 0.576 0.174 C
0.424 0.826 0.424 C
0.576 0.174 0.576 C
0.826 0.424 0.826 C



[17]
CeMoC PBE optimized geometry; energy above the most stable polymorph in this dataset = 303 meV per atom; V = 50 Å³ per cell
1.0
3.655 0.000 0.000
-1.827 3.165 0.000
0.000 0.000 4.360
Ce Mo C
1 1 1
Direct
0.000 0.000 0.000 Ce
0.333 0.667 0.500 Mo
0.667 0.333 0.500 C



[18]
Ce2MoC PBE optimized geometry; raw total energy = -7.55 eV/atom; V = 243 Å³ per cell
1.0
3.437 0.000 0.000
-1.718 2.976 0.000
0.000 0.000 23.729
Ce Mo C
6 3 3
Direct
0.000 0.000 0.104 Ce
0.000 0.000 0.896 Ce
0.333 0.667 0.562 Ce
0.333 0.667 0.771 Ce
0.667 0.333 0.229 Ce
0.667 0.333 0.438 Ce
0.000 0.000 0.000 Mo
0.333 0.667 0.667 Mo
0.667 0.333 0.333 Mo
0.000 0.000 0.500 C
0.333 0.667 0.167 C
0.667 0.333 0.833 C



[19]
CeNbMoC3 PBE optimized geometry; raw total energy = -9.38 eV/atom; V = 154 Å³ per cell
1.0
5.640 0.000 0.000
0.000 3.302 0.000
-1.799 0.000 8.254
Ce Nb Mo C
2 2 2 6
Direct
0.143 0.250 0.194 Ce
0.857 0.750 0.806 Ce
0.267 0.750 0.545 Nb
0.733 0.250 0.455 Nb
0.378 0.250 0.863 Mo
0.622 0.750 0.137 Mo
0.067 0.250 0.658 C
0.263 0.750 0.981 C
0.467 0.750 0.344 C
0.533 0.250 0.656 C
0.737 0.250 0.019 C
0.933 0.750 0.342 C



[20]
Ce2NdMo2C4 PBE optimized geometry; raw total energy = -8.38 eV/atom; V = 168 Å³ per cell
1.0
8.432 -1.733 0.000
8.432 1.733 0.000
-0.292 0.000 5.744
Ce Nd Mo C
2 1 2 4
Direct
0.158 0.158 0.080 Ce
0.842 0.842 0.920 Ce
0.000 0.000 0.500 Nd
0.312 0.312 0.439 Mo
0.688 0.688 0.561 Mo
0.237 0.237 0.725 C
0.406 0.406 0.653 C
0.594 0.594 0.347 C
0.763 0.763 0.275 C



[21]
CePaMoC3 PBE optimized geometry; raw total energy = -8.99 eV/atom; V = 212 Å³ per cell
1.0
7.315 0.000 0.000
0.000 3.638 0.000
-0.662 0.000 7.960
Ce Pa Mo C
2 2 2 6
Direct
0.155 0.250 0.162 Ce
0.845 0.750 0.838 Ce
0.372 0.750 0.833 Pa
0.628 0.250 0.167 Pa
0.099 0.250 0.598 Mo
0.901 0.750 0.402 Mo
0.128 0.250 0.853 C
0.171 0.750 0.514 C
0.403 0.750 0.121 C
0.597 0.250 0.879 C
0.829 0.250 0.486 C
0.872 0.750 0.147 C



[22]
CePa2MoC4 PBE optimized geometry; raw total energy = -9.21 eV/atom; V = 260 Å³ per cell
1.0
1.786 -5.998 0.000
1.786 5.998 0.000
0.000 0.000 12.161
Ce Pa Mo C
2 4 2 8
Direct
0.108 0.892 0.750 Ce
0.892 0.108 0.250 Ce
0.369 0.631 0.543 Pa
0.369 0.631 0.957 Pa
0.631 0.369 0.043 Pa
0.631 0.369 0.457 Pa
0.155 0.845 0.250 Mo
0.845 0.155 0.750 Mo
0.000 0.000 0.000 C
0.000 0.000 0.500 C
0.263 0.737 0.124 C
0.263 0.737 0.376 C
0.438 0.562 0.750 C
0.562 0.438 0.250 C
0.737 0.263 0.624 C
0.737 0.263 0.876 C